Here is an optimized crystal structure of CaPm3 from Alexandria. Energies are from PBE-GGA.

Lattice parameters (Å, degrees): 5.2410 5.2410 6.3459 114.39 114.39 90.00
Last column: nearest neighbours and their distance in Å.
Fractional positions:
Ca  0.0000  0.0000  0.0000  12 Pm 3.67-3.71
Pm  0.7500  0.2500  0.5000  8 Pm 3.67-3.71, 4 Ca 3.67
Pm  0.2500  0.7500  0.5000  4 Ca 3.67, 8 Pm 3.67-3.71
Pm  0.5000  0.5000  0.0000  8 Pm 3.67, 4 Ca 3.71

Its total magnetization is 0.000 μB/atom. For the calculated volume, the calculation gives 141.5 Å³/cell. The value obtained for the formation energy is 0.082 eV/atom. As for the space-group type: I4/mmm.

***

Here is an optimized crystal structure of CaPm4Pr4 from Alexandria. Energies are from PBE-GGA.

Lattice parameters (Å, degrees): 9.2872 10.8696 12.2552 73.10 121.47 141.20
Last column: nearest neighbours and their distance in Å.
Fractional positions:
Ca  0.4980  0.4992  0.7437  6 Pm 3.50-3.80, 5 Pr 3.55-3.83
Ca  0.5020  0.5008  0.2563  6 Pm 3.50-3.80, 5 Pr 3.55-3.83
Pm  0.1769  0.5593  0.9293  5 Pm 3.45-3.70, 6 Pr 3.51-3.83, 1 Ca 3.80
Pm  0.5043  0.8329  0.2487  4 Pm 3.45-3.75, 6 Pr 3.47-3.81, 1 Ca 3.57
Pm  0.1590  0.0544  0.4120  3 Pm 3.46-3.81, 3 Pr 3.63-3.73, 2 Ca 3.77-3.79
Pm  0.1876  0.2251  0.9343  4 Pr 3.45-3.68, 2 Ca 3.50-3.78, 4 Pm 3.66-3.71
Pm  0.8410  0.9456  0.5880  3 Pm 3.46-3.81, 3 Pr 3.63-3.73, 2 Ca 3.77-3.79
Pm  0.8124  0.7749  0.0657  4 Pr 3.45-3.68, 2 Ca 3.50-3.78, 4 Pm 3.66-3.71
Pm  0.8231  0.4407  0.0707  5 Pm 3.45-3.70, 6 Pr 3.51-3.83, 1 Ca 3.80
Pm  0.4957  0.1671  0.7513  4 Pm 3.45-3.75, 6 Pr 3.47-3.81, 1 Ca 3.57
Pr  0.1626  0.7206  0.4036  5 Pr 3.50-3.91, 4 Pm 3.69-3.89, 1 Ca 3.83
Pr  0.1963  0.9023  0.9446  7 Pm 3.47-3.68, 1 Ca 3.55, 2 Pr 3.63
Pr  0.5077  0.8348  0.7469  5 Pm 3.45-3.73, 5 Pr 3.50-3.81, 1 Ca 3.59
Pr  0.1273  0.3721  0.3944  2 Ca 3.57-3.76, 4 Pr 3.57-3.96, 5 Pm 3.63-3.89
Pr  0.8727  0.6279  0.6056  2 Ca 3.57-3.76, 4 Pr 3.57-3.96, 5 Pm 3.63-3.89
Pr  0.4923  0.1652  0.2531  5 Pm 3.45-3.73, 5 Pr 3.50-3.81, 1 Ca 3.59
Pr  0.8037  0.0977  0.0554  7 Pm 3.47-3.68, 1 Ca 3.55, 2 Pr 3.63
Pr  0.8374  0.2794  0.5964  5 Pr 3.50-3.91, 4 Pm 3.69-3.89, 1 Ca 3.83

Its total magnetization is 0.000 μB/atom. For the calculated volume, the calculation gives 645.5 Å³/cell. The value obtained for the formation energy is 0.053 eV/atom. As for the space-group type: P-1.

***

Here is an optimized crystal structure of CaPm14Pr from Alexandria. Energies are from PBE-GGA.

Lattice parameters (Å, degrees): 7.4211 7.4211 11.8132 90.00 90.00 120.04
Last column: nearest neighbours and their distance in Å.
Fractional positions:
Ca  0.6665  0.3335  0.0000  10 Pm 3.69-3.71, 2 Pr 3.71
Pm  0.6667  0.3333  0.5000  12 Pm 3.64-3.71
Pm  0.1667  0.8333  0.5000  12 Pm 3.61-3.71
Pm  0.1683  0.3363  0.0000  8 Pm 3.63-3.74, 2 Pr 3.68-3.74, 2 Ca 3.71
Pm  0.1670  0.3337  0.5000  12 Pm 3.61-3.71
Pm  0.6637  0.8317  0.0000  8 Pm 3.63-3.74, 2 Pr 3.68-3.74, 2 Ca 3.71
Pm  0.6663  0.8330  0.5000  12 Pm 3.61-3.71
Pm  0.3281  0.1642  0.7473  10 Pm 3.61-3.77, 1 Pr 3.67, 1 Ca 3.69
Pm  0.3281  0.1642  0.2527  10 Pm 3.61-3.77, 1 Pr 3.67, 1 Ca 3.69
Pm  0.8358  0.6719  0.7473  10 Pm 3.61-3.77, 1 Pr 3.67, 1 Ca 3.69
Pm  0.8358  0.6719  0.2527  10 Pm 3.61-3.77, 1 Pr 3.67, 1 Ca 3.69
Pm  0.8360  0.1640  0.7480  11 Pm 3.62-3.77, 1 Ca 3.69
Pm  0.8360  0.1640  0.2520  11 Pm 3.62-3.77, 1 Ca 3.69
Pm  0.3334  0.6666  0.7507  11 Pm 3.63-3.71, 1 Pr 3.63
Pm  0.3334  0.6666  0.2493  11 Pm 3.63-3.71, 1 Pr 3.63
Pr  0.1682  0.8318  0.0000  10 Pm 3.63-3.74, 2 Ca 3.71

Its total magnetization is 0.000 μB/atom. For the calculated volume, the calculation gives 563.2 Å³/cell. The value obtained for the formation energy is 0.040 eV/atom. As for the space-group type: Amm2.

***

Here is an optimized crystal structure of CaPmPr from Alexandria. Energies are from PBE-GGA.

Lattice parameters (Å, degrees): 3.6717 3.7327 16.6583 90.00 96.34 90.00
Last column: nearest neighbours and their distance in Å.
Fractional positions:
Ca  0.9501  0.7502  0.9001  6 Ca 3.67-3.80, 4 Pr 3.83
Ca  0.0499  0.2498  0.0999  6 Ca 3.67-3.80, 4 Pr 3.83
Pm  0.7896  0.7505  0.5791  4 Pr 3.63, 8 Pm 3.67-3.73
Pm  0.2104  0.2495  0.4209  4 Pr 3.63, 8 Pm 3.67-3.73
Pr  0.6345  0.7495  0.2690  4 Pm 3.63, 4 Pr 3.67-3.73, 4 Ca 3.83
Pr  0.3655  0.2505  0.7310  4 Pm 3.63, 4 Pr 3.67-3.73, 4 Ca 3.83

Its total magnetization is 0.000 μB/atom. For the calculated volume, the calculation gives 226.9 Å³/cell. The value obtained for the formation energy is 0.057 eV/atom. As for the space-group type: Cmcm.

***

Here is an optimized crystal structure of CaPm3Pr5 from Alexandria. Energies are from PBE-GGA.

Lattice parameters (Å, degrees): 9.8207 9.8207 12.1660 52.61 52.61 74.12
Last column: nearest neighbours and their distance in Å.
Fractional positions:
Ca  0.1613  0.1613  0.5911  4 Pm 3.41-3.57, 2 Pr 3.48-3.52
Ca  0.8387  0.8387  0.4089  4 Pm 3.41-3.57, 2 Pr 3.48-3.52
Pm  0.6828  0.6828  0.8245  1 Pm 3.23, 5 Pr 3.29-3.52, 1 Ca 3.57
Pm  0.6589  0.6589  0.3486  2 Pm 3.23-3.47, 3 Pr 3.30-3.59, 1 Ca 3.41
Pm  0.0000  0.0000  0.0000  4 Pr 2.99-3.25
Pm  0.0000  0.0000  0.5000  2 Pm 3.23, 2 Ca 3.45, 4 Pr 3.56
Pm  0.3172  0.3172  0.1755  1 Pm 3.23, 5 Pr 3.29-3.52, 1 Ca 3.57
Pm  0.3411  0.3411  0.6514  2 Pm 3.23-3.47, 3 Pr 3.30-3.59, 1 Ca 3.41
Pr  0.8502  0.3419  0.2578  2 Pr 3.42-3.47, 2 Pm 3.56-3.59
Pr  0.2523  0.7477  0.0000  1 Pm 2.99
Pr  0.8211  0.8211  0.9543  3 Pr 3.24-3.42, 3 Pm 3.25-3.52, 1 Ca 3.48
Pr  0.5060  0.5060  0.2247  3 Pr 3.24-3.47, 2 Pm 3.29-3.44, 1 Ca 3.52
Pr  0.4940  0.4940  0.7753  3 Pr 3.24-3.47, 2 Pm 3.29-3.44, 1 Ca 3.52
Pr  0.1789  0.1789  0.0457  3 Pr 3.24-3.42, 3 Pm 3.25-3.52, 1 Ca 3.48
Pr  0.3419  0.8502  0.2578  2 Pr 3.42-3.47, 2 Pm 3.56-3.59
Pr  0.7477  0.2523  0.0000  1 Pm 2.99
Pr  0.1498  0.6581  0.7422  2 Pr 3.42-3.47, 2 Pm 3.56-3.59
Pr  0.6581  0.1498  0.7422  2 Pr 3.42-3.47, 2 Pm 3.56-3.59

Its total magnetization is 0.000 μB/atom. For the calculated volume, the calculation gives 732.2 Å³/cell. The value obtained for the formation energy is 0.459 eV/atom. As for the space-group type: C2/m.

***

Here is an optimized crystal structure of Ca2Pm2Pr15 from Alexandria. Energies are from PBE-GGA.

Lattice parameters (Å, degrees): 9.0795 9.0795 9.0795 81.04 81.04 81.04
Last column: nearest neighbours and their distance in Å.
Fractional positions:
Ca  0.6690  0.6690  0.6690  15 Pr 4.17-4.51, 1 Pm 4.29
Ca  0.3310  0.3310  0.3310  15 Pr 4.17-4.51, 1 Pm 4.29
Pm  0.9072  0.9072  0.9072  1 Pm 3.34, 3 Pr 3.66
Pm  0.0928  0.0928  0.0928  1 Pm 3.34, 3 Pr 3.66
Pr  0.0000  0.5000  0.0000  8 Pr 3.48-3.49, 2 Pm 3.66
Pr  0.0000  0.0000  0.5000  8 Pr 3.48-3.49, 2 Pm 3.66
Pr  0.5000  0.0000  0.0000  8 Pr 3.48-3.49, 2 Pm 3.66
Pr  0.2963  0.0000  0.7037  6 Pr 3.48-3.50, 2 Pm 3.87
Pr  0.7037  0.2963  0.0000  6 Pr 3.48-3.50, 2 Pm 3.87
Pr  0.0000  0.7037  0.2963  6 Pr 3.48-3.50, 2 Pm 3.87
Pr  0.2963  0.7037  0.0000  6 Pr 3.48-3.50, 2 Pm 3.87
Pr  0.0000  0.2963  0.7037  6 Pr 3.48-3.50, 2 Pm 3.87
Pr  0.7037  0.0000  0.2963  6 Pr 3.48-3.50, 2 Pm 3.87
Pr  0.3642  0.8524  0.3642  6 Pr 3.46-3.48
Pr  0.3642  0.3642  0.8524  6 Pr 3.46-3.48
Pr  0.8524  0.3642  0.3642  6 Pr 3.46-3.48
Pr  0.6358  0.1476  0.6358  6 Pr 3.46-3.48
Pr  0.6358  0.6358  0.1476  6 Pr 3.46-3.48
Pr  0.1476  0.6358  0.6358  6 Pr 3.46-3.48

Its total magnetization is 0.000 μB/atom. For the calculated volume, the calculation gives 723.7 Å³/cell. The value obtained for the formation energy is 0.223 eV/atom. As for the space-group type: R-3m.

***

Here is an optimized crystal structure of CaPm4Pr from Alexandria. Energies are from PBE-GGA.

Lattice parameters (Å, degrees): 6.8194 6.8194 6.8194 60.00 60.00 60.00
Last column: nearest neighbours and their distance in Å.
Fractional positions:
Pr  0.0000  0.0000  0.0000  12 Pm 3.99, 4 Ca 4.18
Ca  0.2500  0.2500  0.2500  12 Pm 4.00, 4 Pr 4.18
Pm  0.6262  0.6262  0.1213  6 Pm 3.38-3.44
Pm  0.6262  0.1213  0.6262  6 Pm 3.38-3.44
Pm  0.6262  0.6262  0.6262  6 Pm 3.38-3.44
Pm  0.1213  0.6262  0.6262  6 Pm 3.38-3.44

Its total magnetization is 0.000 μB/atom. For the calculated volume, the calculation gives 224.2 Å³/cell. The value obtained for the formation energy is 0.198 eV/atom. As for the space-group type: F-43m.

***

Here is an optimized crystal structure of CaPm2Pr from Alexandria. Energies are from PBE-GGA.

Lattice parameters (Å, degrees): 5.8934 5.8934 5.8934 60.00 60.00 60.00
Last column: nearest neighbours and their distance in Å.
Fractional positions:
Pr  0.5000  0.5000  0.5000  8 Pm 3.61
Ca  0.0000  0.0000  0.0000  8 Pm 3.61
Pm  0.2500  0.2500  0.2500  4 Ca 3.61, 4 Pr 3.61
Pm  0.7500  0.7500  0.7500  4 Pr 3.61, 4 Ca 3.61

Its total magnetization is 0.001 μB/atom. For the calculated volume, the calculation gives 144.7 Å³/cell. The value obtained for the formation energy is 0.138 eV/atom. As for the space-group type: Fm-3m.